Material: CoSnN2Cl
Method: DFT, PBE-GGA
State: relaxed

Summary:
- crystal system = tetragonal
- formation energy from raw total energies (meV/atom) = 1565

a = 4.0021 Å, b = 4.0021 Å, c = 6.0516 Å
α = 90.00°, β = 90.00°, γ = 90.00°
Space group P4/mmm (No. 123)
One atom of each set of equivalent atoms:
Co1 0.0000 0.0000 0.0000 [1 per cell]
Sn1 0.0000 0.0000 0.5000 [1 per cell]
N1 0.0000 0.5000 0.5000 [2 per cell]
Cl1 0.5000 0.5000 0.0000 [1 per cell]